(1)
Cr2CdIn | PBE | optimized geometry

Summary:
Formation enthalpy at 0 K in eV/atom: 0.24
Total moment in μB per atom: 0.076
Theoretical density in Mg/m³: 7.63

Cell lengths 3.0356, 7.7491, 7.7491 Å; angles 23.30, 90.00, 90.00 degrees
With the nearest neighbours (Å) after each atom.
Fractional positions:
1 Cr 0.0000 0.0000 0.0000  4 Cr 2.44
2 Cr 0.5000 0.4284 0.4284  4 Cr 2.44
3 Cd 0.5000 0.6283 0.6283  5 Cr 2.92-3.03, 4 Cd 3.04-3.13, 2 In 3.04
4 In 0.0000 0.8020 0.8020  5 Cr 2.90-3.00, 4 In 3.04-3.13, 2 Cd 3.04



(2)
CrCd4In | PBE | optimized geometry

Summary:
Formation enthalpy at 0 K in eV/atom: 0.29
Total moment in μB per atom: 0.731
Theoretical density in Mg/m³: 7.46

Cell lengths 5.7887, 5.7887, 5.7887 Å; angles 60.00, 60.00, 60.00 degrees
With the nearest neighbours (Å) after each atom.
Fractional positions:
1 Cr 0.0000 0.0000 0.0000  12 Cd 3.39, 4 In 3.54
2 Cd 0.3744 0.3744 0.3744  6 Cd 2.88-2.91
3 Cd 0.3744 0.3744 0.8769  6 Cd 2.88-2.91
4 Cd 0.3744 0.8769 0.3744  6 Cd 2.88-2.91
5 Cd 0.8769 0.3744 0.3744  6 Cd 2.88-2.91
6 In 0.7500 0.7500 0.7500  12 Cd 3.40, 4 Cr 3.54



(3)
Cr2CdIn | PBE | optimized geometry

Summary:
Formation enthalpy at 0 K in eV/atom: 1.17
Total moment in μB per atom: 0.000
Theoretical density in Mg/m³: 7.69

Cell lengths 5.8141, 5.8141, 5.8141 Å; angles 102.40, 102.40, 124.79 degrees
With the nearest neighbours (Å) after each atom.
Fractional positions:
1 Cr 0.1235 0.6250 0.9985  2 In 2.66, 2 Cd 2.67, 2 Cr 2.69
2 Cr 0.3750 0.3735 0.4985  2 In 2.66, 2 Cd 2.67, 2 Cr 2.69
3 Cr 0.6265 0.1250 0.0015  2 In 2.66, 2 Cd 2.67, 2 Cr 2.69
4 Cr 0.8750 0.8765 0.5015  2 In 2.66, 2 Cd 2.67, 2 Cr 2.69
5 Cd 0.2500 0.7500 0.5000  4 Cr 2.67, 2 In 2.69
6 Cd 0.5000 0.5000 0.0000  4 Cr 2.67, 2 In 2.69
7 In 0.0000 0.0000 0.0000  4 Cr 2.66, 2 Cd 2.69
8 In 0.7500 0.2500 0.5000  4 Cr 2.66, 2 Cd 2.69



(4)
CrCd2In | PBE | optimized geometry

Summary:
Formation enthalpy at 0 K in eV/atom: 0.31
Total moment in μB per atom: 0.994
Theoretical density in Mg/m³: 7.53

Cell lengths 9.7459, 9.7459, 9.7459 Å; angles 19.06, 19.06, 19.06 degrees
With the nearest neighbours (Å) after each atom.
Fractional positions:
1 Cr 0.0000 0.0000 0.0000  3 Cd 2.90, 3 In 2.93, 6 Cr 3.23
2 Cd 0.2561 0.2561 0.2561  3 Cr 2.90, 9 Cd 3.14-3.23
3 Cd 0.5012 0.5012 0.5012  9 Cd 3.14-3.23, 3 In 3.16
4 In 0.7456 0.7456 0.7456  3 Cr 2.93, 3 Cd 3.16, 6 In 3.23



What is the formation enthalpy at 0 K in the first record?
0.24 eV/atom